# 1
The following is a PBE-GGA calculation of In2Sn3F8 after structural relaxation, from the Alexandria database.

Cell: 14.218 7.398 12.813 Å, 90.00 99.25 90.00°
Space group C2/c (No. 15)
One atom of each set of equivalent atoms:
1 In 0.235 0.231 0.354 [8 per cell]
2 Sn 0.000 0.071 0.750 [4 per cell]
3 Sn 0.131 0.220 0.043 [8 per cell]
4 F 0.068 0.122 0.355 [8 per cell]
5 F 0.123 0.007 0.162 [8 per cell]
6 F 0.189 0.371 0.176 [8 per cell]
7 F 0.236 0.412 0.957 [8 per cell]

Calculated values
**Total energy**: -0.1686 hartree per atom
**Formation energy (no corrections)**: -2092 meV/atom

# 2
The following is a PBE-GGA calculation of CoPd2Pt4 after structural relaxation, from the Alexandria database.

Cell: 2.736 21.449 3.830 Å, 90.00 90.00 90.00°
Space group Cmmm (No. 65)
One atom of each set of equivalent atoms:
1 Co 0.000 0.000 0.000 [2 per cell]
2 Pd 0.000 0.304 0.500 [4 per cell]
3 Pt 0.000 0.130 0.000 [4 per cell]
4 Pt 0.000 0.438 0.500 [4 per cell]

Calculated values
**ΔH_f (0 K)**: 88 meV/atom
**Total energy**: -0.2155 hartree per atom

# 3
The following is a PBE-GGA calculation of CaDyGaAu after structural relaxation, from the Alexandria database.

Cell: 3.635 3.635 7.252 Å, 90.00 90.00 90.00°
Space group P4mm (No. 99)
One atom of each set of equivalent atoms:
1 Ca 0.000 0.000 0.000 [1 per cell]
2 Dy 0.000 0.000 0.508 [1 per cell]
3 Ga 0.500 0.500 0.268 [1 per cell]
4 Au 0.500 0.500 0.730 [1 per cell]

Calculated values
**ΔH_f (0 K)**: -678 meV/atom
**Total energy**: -0.1435 hartree per atom

# 4
The following is a PBE-GGA calculation of Pd2SeI8 after structural relaxation, from the Alexandria database.

Cell: 7.120 7.562 10.510 Å, 68.97 71.45 69.09°
Space group P-1 (No. 2)
One atom of each set of equivalent atoms:
1 Pd 0.195 0.005 0.101 [2 per cell]
2 Se 0.000 0.000 0.500 [1 per cell]
3 I 0.041 0.223 0.869 [2 per cell]
4 I 0.126 0.737 0.740 [2 per cell]
5 I 0.312 0.763 0.344 [2 per cell]
6 I 0.444 0.236 0.043 [2 per cell]

Calculated values
**Total energy**: -0.0898 hartree per atom
**Formation energy (no corrections)**: -56 meV/atom

# 5
The following is a PBE-GGA calculation of Sm3InAg3S8 after structural relaxation, from the Alexandria database.

Cell: 12.964 8.142 7.875 Å, 90.00 122.88 90.00°
Space group C2/m (No. 12)
One atom of each set of equivalent atoms:
1 Sm 0.000 0.000 0.000 [2 per cell]
2 Sm 0.250 0.250 0.500 [4 per cell]
3 In 0.000 0.500 0.000 [2 per cell]
4 Ag 0.000 0.500 0.500 [2 per cell]
5 Ag 0.250 0.250 0.000 [4 per cell]
6 S 0.007 0.263 0.770 [8 per cell]
7 S 0.241 0.500 0.241 [4 per cell]
8 S 0.248 0.500 0.738 [4 per cell]

Calculated values
**Total energy**: -0.1816 hartree per atom
**Formation energy (no corrections)**: -1042 meV/atom

# 6
The following is a PBE-GGA calculation of KGe2PdAu after structural relaxation, from the Alexandria database.

Cell: 4.849 4.849 5.397 Å, 90.00 90.00 90.00°
Space group P4/mmm (No. 123)
One atom of each set of equivalent atoms:
1 K 0.000 0.000 0.000 [1 per cell]
2 Ge 0.000 0.500 0.500 [2 per cell]
3 Pd 0.500 0.500 0.500 [1 per cell]
4 Au 0.500 0.500 0.000 [1 per cell]

Calculated values
**ΔH_f (0 K)**: 41 meV/atom
**Total energy**: -0.1367 hartree per atom

Q: Which of these has the highest total energy?
A: Pd2SeI8

Q: Among the records above, which one has the lowest total energy?
A: CoPd2Pt4

Q: Which of these has the highest total energy?
A: Pd2SeI8